The following is a PBE+U calculation of crystalline FeHIO2 at its relaxed geometry, from Alexandria via LeMat-Bulk.

Properties
Magnetization (μB/atom): 0.79
Distance to the lowest polymorph of the same formula (kJ per mole of atoms): 70.50

Cell: 4.2869 4.2869 3.4375 Å, 90.00 90.00 90.00°
Fractional positions:
I  0.0000  0.0000  0.5000
H  0.0000  0.0000  0.0000
Fe  0.5000  0.5000  0.5000
O  0.0000  0.5000  0.0000
O  0.5000  0.0000  0.0000